i | Computed, not measured: an optimized crystal structure of BPWS2 at the PBE level of DFT.

Values from the calculation:
As for the crystal system: tetragonal. Its symmetry is P4/mmm.

Cell lengths 4.093, 4.093, 4.054 Å; angles 90.00, 90.00, 90.00 degrees
Fractional coordinates of all 5 atoms:
B 0.000 0.000 0.000
P 0.000 0.000 0.500
W 0.500 0.500 0.500
S 0.000 0.500 0.000
S 0.500 0.000 0.000

ii | Computed, not measured: an optimized crystal structure of BPWS2 at the PBE level of DFT.

Values from the calculation:
As for the crystal system: tetragonal. Its symmetry is P4/mmm.

Cell lengths 4.634, 4.634, 4.830 Å; angles 90.00, 90.00, 90.00 degrees
Fractional coordinates of all 5 atoms:
B 0.000 0.000 0.000
P 0.500 0.500 0.000
W 0.500 0.500 0.500
S 0.000 0.500 0.500
S 0.500 0.000 0.500

On energetic grounds, i is preferred over the next structure by 117 meV per atom.

i | Computed, not measured: an optimized crystal structure of ZnBP2S at the PBE level of DFT.

Values from the calculation:
As for the crystal system: tetragonal. Its symmetry is P4/mmm.

Cell lengths 4.113, 4.113, 4.321 Å; angles 90.00, 90.00, 90.00 degrees
Fractional coordinates of all 5 atoms:
Zn 0.000 0.000 0.000
B 0.500 0.500 0.500
P 0.000 0.500 0.500
P 0.500 0.000 0.500
S 0.500 0.500 0.000

ii | Computed, not measured: an optimized crystal structure of ZnBP2S at the PBE level of DFT.

Values from the calculation:
As for the crystal system: tetragonal. Its symmetry is P4/mmm.

Cell lengths 4.563, 4.563, 4.798 Å; angles 90.00, 90.00, 90.00 degrees
Fractional coordinates of all 5 atoms:
Zn 0.000 0.000 0.000
B 0.500 0.500 0.500
P 0.000 0.500 0.000
P 0.500 0.000 0.000
S 0.000 0.000 0.500

On energetic grounds, i is preferred over the next structure by 879 meV per atom.

i | Computed, not measured: an optimized crystal structure of ZrBPS2 at the PBE level of DFT.

Values from the calculation:
As for the crystal system: tetragonal. Its symmetry is P4/mmm.

Cell lengths 4.265, 4.265, 4.128 Å; angles 90.00, 90.00, 90.00 degrees
Fractional coordinates of all 5 atoms:
Zr 0.000 0.000 0.000
B 0.500 0.500 0.500
P 0.500 0.500 0.000
S 0.000 0.500 0.500
S 0.500 0.000 0.500

ii | Computed, not measured: an optimized crystal structure of ZrBPS2 at the PBE level of DFT.

Values from the calculation:
As for the crystal system: tetragonal. Its symmetry is P4/mmm.

Cell lengths 4.957, 4.957, 5.109 Å; angles 90.00, 90.00, 90.00 degrees
Fractional coordinates of all 5 atoms:
Zr 0.000 0.000 0.000
B 0.500 0.500 0.500
P 0.000 0.000 0.500
S 0.000 0.500 0.000
S 0.500 0.000 0.000

On energetic grounds, i is preferred over the next structure by 642 meV per atom.

i | Computed, not measured: an optimized crystal structure of BSbP2 at the PBE level of DFT.

Values from the calculation:
As for the crystal system: cubic. Its symmetry is Fm-3m.

Cell lengths 4.506, 4.506, 4.506 Å; angles 60.00, 60.00, 60.00 degrees
Fractional coordinates of all 4 atoms:
B 0.000 0.000 0.000
Sb 0.500 0.500 0.500
P 0.250 0.250 0.250
P 0.750 0.750 0.750

ii | Computed, not measured: an optimized crystal structure of BSbP2 at the PBE level of DFT.

Values from the calculation:
As for the crystal system: tetragonal. Its symmetry is I-42d.

Cell lengths 5.765, 5.765, 5.765 Å; angles 118.29, 118.29, 92.99 degrees
Fractional coordinates of all 8 atoms:
B 0.000 0.000 0.000
B 0.750 0.250 0.500
Sb 0.250 0.750 0.500
Sb 0.500 0.500 0.000
P 0.023 0.625 0.898
P 0.375 0.273 0.398
P 0.727 0.125 0.102
P 0.875 0.977 0.602

On energetic grounds, ii is preferred over the next structure by 1063 meV per atom.

i | Computed, not measured: an optimized crystal structure of BSb2P at the PBE level of DFT.

Values from the calculation:
As for the crystal system: cubic. Its symmetry is Fm-3m.

Cell lengths 4.720, 4.720, 4.720 Å; angles 60.00, 60.00, 60.00 degrees
Fractional coordinates of all 4 atoms:
B 0.000 0.000 0.000
Sb 0.250 0.250 0.250
Sb 0.750 0.750 0.750
P 0.500 0.500 0.500

ii | Computed, not measured: an optimized crystal structure of BSb2P at the PBE level of DFT.

Values from the calculation:
As for the crystal system: tetragonal. Its symmetry is I-42d.

Cell lengths 6.382, 6.382, 6.382 Å; angles 121.85, 121.85, 86.83 degrees
Fractional coordinates of all 8 atoms:
B 0.000 0.000 0.000
B 0.750 0.250 0.500
Sb 0.072 0.625 0.947
Sb 0.375 0.322 0.447
Sb 0.678 0.125 0.053
Sb 0.875 0.928 0.553
P 0.250 0.750 0.500
P 0.500 0.500 0.000

On energetic grounds, ii is preferred over the next structure by 501 meV per atom.

i | Computed, not measured: an optimized crystal structure of BSbP3 at the PBE level of DFT.

Values from the calculation:
As for the crystal system: cubic. Its symmetry is Pm-3m.

Cell lengths 4.258, 4.258, 4.258 Å; angles 90.00, 90.00, 90.00 degrees
Fractional coordinates of all 5 atoms:
B 0.000 0.000 0.000
Sb 0.500 0.500 0.500
P 0.000 0.000 0.500
P 0.000 0.500 0.000
P 0.500 0.000 0.000

ii | Computed, not measured: an optimized crystal structure of BSbP3 at the PBE level of DFT.

Values from the calculation:
As for the crystal system: cubic. Its symmetry is Pm-3m.

Cell lengths 5.045, 5.045, 5.045 Å; angles 90.00, 90.00, 90.00 degrees
Fractional coordinates of all 5 atoms:
B 0.000 0.000 0.000
Sb 0.500 0.500 0.500
P 0.000 0.500 0.500
P 0.500 0.000 0.500
P 0.500 0.500 0.000

On energetic grounds, i is preferred over the next structure by 1337 meV per atom.